This record from Alexandria via LeMat-Bulk describes a relaxed Pr3Al8Ga3 crystal. The functional is PBE.

Structure (POSCAR):
```
Pr3Al8Ga3
1.0
4.396 0.000 0.000
2.198 8.250 -0.136
2.198 2.115 7.976
Al Ga Pr
8 3 3
direct
0.834 0.537 0.795 Al
0.641 0.630 0.088 Al
0.166 0.205 0.463 Al
0.359 0.912 0.370 Al
0.359 0.370 0.912 Al
0.641 0.088 0.630 Al
0.834 0.795 0.537 Al
0.166 0.463 0.205 Al
0.000 0.778 0.222 Ga
0.000 0.222 0.778 Ga
0.500 0.000 0.000 Ga
0.822 0.178 0.178 Pr
0.178 0.822 0.822 Pr
0.500 0.500 0.500 Pr
```

## Properties
DFT total energy: -4.208 eV/atom
Space-group type: No. 71